! SCAN MnZn2Ir, PBEsol geometry; values from VASP
&SYSTEM
  ibrav = 0, nat = 4, ntyp = 3
/
ATOMIC_SPECIES
Mn 54.94 Mn.upf
Zn 65.41 Zn.upf
Ir 192.22 Ir.upf
CELL_PARAMETERS angstrom
-0.4952 1.7856 1.9444
-3.7065 -2.4817 0.9999
4.4520 -2.0391 1.3187
ATOMIC_POSITIONS angstrom
Mn -0.2476 0.8928 0.9722
Zn 0.1252 -1.3676 2.1315
Zn 2.2260 -1.0195 0.6594
Ir -1.8532 -1.2408 0.5000
! Mass density, Mg/m³: 11.74
! Energy relative to the elements, meV per atom: -186